Run A
! Tl3CdAu | Alexandria via LeMat-Bulk | PBE-GGA | optimized geometry; values from VASP
! Total moment in μB/atom: 0.000
! DOS at the Fermi energy in states/eV per atom: 0.3452
! V in Å³/atom: 27.702
! Symmetry: P2_1/m, No. 11
&SYSTEM
  ibrav = 0, nat = 10, ntyp = 3
/
ATOMIC_SPECIES
Tl 204.38 Tl.upf
Cd 112.41 Cd.upf
Au 196.97 Au.upf
CELL_PARAMETERS angstrom
6.8593 0.0000 0.0000
0.0000 4.9081 0.0000
-0.0063 0.0000 8.2283
ATOMIC_POSITIONS crystal
Tl 0.2208 0.2500 0.0430
Tl 0.2214 0.2500 0.4570
Tl 0.2434 0.7500 0.7499
Tl 0.7566 0.2500 0.2501
Tl 0.7786 0.7500 0.5430
Tl 0.7792 0.7500 0.9570
Cd 0.4566 0.7500 0.2498
Cd 0.5434 0.2500 0.7502
Au 0.0510 0.7500 0.2502
Au 0.9490 0.2500 0.7498

Run B
! Tl3CdAu | Alexandria via LeMat-Bulk | PBE-GGA | optimized geometry; values from VASP
! Total moment in μB/atom: 0.000
! DOS at the Fermi energy in states/eV per atom: 0.7418
! V in Å³/atom: 34.644
! Symmetry: Pm-3m, No. 221
&SYSTEM
  ibrav = 0, nat = 5, ntyp = 3
/
ATOMIC_SPECIES
Tl 204.38 Tl.upf
Cd 112.41 Cd.upf
Au 196.97 Au.upf
CELL_PARAMETERS angstrom
5.5744 0.0000 0.0000
0.0000 5.5744 0.0000
0.0000 0.0000 5.5744
ATOMIC_POSITIONS crystal
Tl 0.0000 0.0000 0.5000
Tl 0.0000 0.5000 0.0000
Tl 0.5000 0.0000 0.0000
Cd 0.5000 0.5000 0.5000
Au 0.0000 0.0000 0.0000

The most stable arrangement is run A, and the next structure is 162 meV per atom less stable.

Run A
! Tl2Cd2Au | Alexandria via LeMat-Bulk | PBE-GGA | optimized geometry; values from VASP
! Total moment in μB/atom: 0.000
! DOS at the Fermi energy in states/eV per atom: 0.3905
! V in Å³/atom: 27.042
! Symmetry: P4/mbm, No. 127
&SYSTEM
  ibrav = 0, nat = 10, ntyp = 3
/
ATOMIC_SPECIES
Tl 204.38 Tl.upf
Cd 112.41 Cd.upf
Au 196.97 Au.upf
CELL_PARAMETERS angstrom
7.6834 0.0000 0.0000
0.0000 7.6834 0.0000
0.0000 0.0000 4.5807
ATOMIC_POSITIONS crystal
Tl 0.1564 0.3436 0.0000
Tl 0.3436 0.8436 0.0000
Tl 0.6564 0.1564 0.0000
Tl 0.8436 0.6564 0.0000
Cd 0.1500 0.6500 0.5000
Cd 0.3500 0.1500 0.5000
Cd 0.6500 0.8500 0.5000
Cd 0.8500 0.3500 0.5000
Au 0.0000 0.0000 0.0000
Au 0.5000 0.5000 0.0000

Run B
! Tl2Cd2Au | Alexandria via LeMat-Bulk | PBE-GGA | optimized geometry; values from VASP
! Total moment in μB/atom: 0.000
! DOS at the Fermi energy in states/eV per atom: 0.4333
! V in Å³/atom: 27.842
! Symmetry: I4/mmm, No. 139
&SYSTEM
  ibrav = 0, nat = 5, ntyp = 3
/
ATOMIC_SPECIES
Tl 204.38 Tl.upf
Cd 112.41 Cd.upf
Au 196.97 Au.upf
CELL_PARAMETERS angstrom
-2.1244 2.1244 7.7119
2.1244 -2.1244 7.7119
2.1244 2.1244 -7.7119
ATOMIC_POSITIONS crystal
Tl 0.2500 0.7500 0.5000
Tl 0.7500 0.2500 0.5000
Cd 0.0883 0.0883 0.0000
Cd 0.9117 0.9117 0.0000
Au 0.5000 0.5000 0.0000

Run C
! Tl2Cd2Au | Alexandria via LeMat-Bulk | PBE-GGA | optimized geometry; values from VASP
! Total moment in μB/atom: 0.000
! DOS at the Fermi energy in states/eV per atom: 0.4932
! V in Å³/atom: 26.694
! Symmetry: P4/mbm, No. 127
&SYSTEM
  ibrav = 0, nat = 10, ntyp = 3
/
ATOMIC_SPECIES
Tl 204.38 Tl.upf
Cd 112.41 Cd.upf
Au 196.97 Au.upf
CELL_PARAMETERS angstrom
7.3212 0.0000 0.0000
0.0000 7.3212 0.0000
0.0000 0.0000 4.9801
ATOMIC_POSITIONS crystal
Tl 0.1699 0.3301 0.0000
Tl 0.3301 0.8301 0.0000
Tl 0.6699 0.1699 0.0000
Tl 0.8301 0.6699 0.0000
Cd 0.1442 0.6442 0.5000
Cd 0.3558 0.1442 0.5000
Cd 0.6442 0.8558 0.5000
Cd 0.8558 0.3558 0.5000
Au 0.0000 0.0000 0.5000
Au 0.5000 0.5000 0.5000

The most stable arrangement is run C, and the next structure is 122 meV per atom less stable.